# 1
An optimized crystal structure of Ca2ZrSi4Pt3, computed with PBE-GGA.

Computed properties:
- theoretical density (Mg/m³) = 7.669
- V (Å³/atom) = 18.8
- space-group type = P-4m2, No. 115
- energy relative to the elements, uncorrected (eV per atom) = -0.875
- total magnetization (μB/atom) = 0.00

abc: 4.188 4.188 10.728
angles: 90.00 90.00 90.00
Positions (direct):
Ca: 0.500 0.000 0.242
Ca: 0.000 0.500 0.758
Zr: 0.500 0.500 0.500
Si: 0.500 0.500 0.000
Si: 0.000 0.000 0.000
Si: 0.500 0.000 0.653
Si: 0.000 0.500 0.347
Pt: 0.000 0.000 0.500
Pt: 0.500 0.000 0.883
Pt: 0.000 0.500 0.117



# 2
An optimized crystal structure of La2CuSb3Pt4, computed with PBE-GGA.

Computed properties:
- theoretical density (Mg/m³) = 11.169
- V (Å³/atom) = 22.1
- space-group type = P-4m2, No. 115
- energy relative to the elements, uncorrected (eV per atom) = -0.855
- total magnetization (μB/atom) = 0.00

abc: 4.606 4.606 10.420
angles: 90.00 90.00 90.00
Positions (direct):
La: 0.500 0.000 0.249
La: 0.000 0.500 0.751
Cu: 0.500 0.500 0.500
Sb: 0.000 0.000 0.500
Sb: 0.500 0.000 0.866
Sb: 0.000 0.500 0.134
Pt: 0.500 0.500 0.000
Pt: 0.000 0.000 0.000
Pt: 0.500 0.000 0.618
Pt: 0.000 0.500 0.382



# 3
An optimized crystal structure of Rb2TcTeMo, computed with PBE-GGA.

Computed properties:
- theoretical density (Mg/m³) = 3.144
- V (Å³/atom) = 52.0
- space-group type = P4/mmm, No. 123
- energy relative to the elements, uncorrected (eV per atom) = 1.477
- total magnetization (μB/atom) = 1.72

abc: 6.988 5.326 6.988
angles: 90.00 90.00 90.00
Positions (direct):
Mo: 0.000 0.500 0.000
Te: 0.000 0.000 0.000
Tc: 0.500 0.500 0.500
Rb: 0.000 0.000 0.500
Rb: 0.500 0.000 0.000



# 4
An optimized crystal structure of AsN, computed with PBE-GGA.

Computed properties:
- theoretical density (Mg/m³) = 5.294
- V (Å³/atom) = 13.9
- space-group type = Fddd, No. 70
- energy relative to the elements, uncorrected (eV per atom) = 0.681
- total magnetization (μB/atom) = 0.00
- excess energy over the best structure of this formula in the dataset (meV/atom) = 672

abc: 8.806 8.001 6.333
angles: 90.00 90.00 90.00
Positions (direct):
As: 0.000 0.000 0.274
As: 0.000 0.000 0.726
As: 0.250 0.750 0.976
As: 0.250 0.750 0.524
As: 0.000 0.500 0.774
As: 0.000 0.500 0.226
As: 0.250 0.250 0.476
As: 0.250 0.250 0.024
As: 0.500 0.000 0.774
As: 0.500 0.000 0.226
As: 0.750 0.750 0.476
As: 0.750 0.750 0.024
As: 0.500 0.500 0.274
As: 0.500 0.500 0.726
As: 0.750 0.250 0.976
As: 0.750 0.250 0.524
N: 0.000 0.335 0.000
N: 0.000 0.665 0.000
N: 0.250 0.415 0.250
N: 0.250 0.085 0.250
N: 0.000 0.835 0.500
N: 0.000 0.165 0.500
N: 0.250 0.915 0.750
N: 0.250 0.585 0.750
N: 0.500 0.335 0.500
N: 0.500 0.665 0.500
N: 0.750 0.415 0.750
N: 0.750 0.085 0.750
N: 0.500 0.835 0.000
N: 0.500 0.165 0.000
N: 0.750 0.915 0.250
N: 0.750 0.585 0.250



# 5
An optimized crystal structure of ScSi2Mo, computed with PBE-GGA.

Computed properties:
- theoretical density (Mg/m³) = 5.072
- V (Å³/atom) = 16.1
- space-group type = P4/mmm, No. 123
- energy relative to the elements, uncorrected (eV per atom) = -0.371
- total magnetization (μB/atom) = 0.13
- excess energy over the best structure of this formula in the dataset (meV/atom) = 167

abc: 3.184 3.184 6.365
angles: 90.00 90.00 90.00
Positions (direct):
Mo: 0.500 0.500 0.250
Sc: 0.500 0.500 0.750
Si: 0.000 0.000 0.048
Si: 0.000 0.000 0.452



# 6
An optimized crystal structure of Li2AuN2, computed with PBE-GGA.

Computed properties:
- theoretical density (Mg/m³) = 5.691
- V (Å³/atom) = 13.9
- space-group type = P4/mbm, No. 127
- energy relative to the elements, uncorrected (eV per atom) = -0.158
- total magnetization (μB/atom) = 0.08

abc: 7.058 7.058 2.799
angles: 90.00 90.00 90.00
Positions (direct):
Li: 0.287 0.787 0.500
Li: 0.787 0.713 0.500
Li: 0.713 0.213 0.500
Li: 0.213 0.287 0.500
Au: 0.000 0.000 0.000
Au: 0.500 0.500 0.000
N: 0.441 0.941 0.000
N: 0.941 0.559 0.000
N: 0.559 0.059 0.000
N: 0.059 0.441 0.000



# 7
An optimized crystal structure of PmPuSbRu, computed with PBE-GGA.

Computed properties:
- theoretical density (Mg/m³) = 11.377
- V (Å³/atom) = 22.3
- space-group type = F-43m, No. 216
- energy relative to the elements, uncorrected (eV per atom) = -0.129
- total magnetization (μB/atom) = 1.50

abc: 5.017 5.017 5.017
angles: 60.00 60.00 60.00
Positions (direct):
Sb: 0.250 0.250 0.250
Pm: 0.750 0.750 0.750
Ru: 0.500 0.500 0.500
Pu: 0.000 0.000 0.000



# 8
An optimized crystal structure of LuInH, computed with PBE-GGA.

Computed properties:
- theoretical density (Mg/m³) = 8.594
- V (Å³/atom) = 18.7
- space-group type = Cmcm, No. 63
- total magnetization (μB/atom) = 0.00
- excess energy over the best structure of this formula in the dataset (meV/atom) = 9

abc: 3.519 3.518 10.485
angles: 90.00 90.00 120.01
Positions (direct):
H: 0.667 0.334 0.250
H: 0.333 0.666 0.750
Lu: 0.334 0.668 0.250
Lu: 0.666 0.332 0.750
In: 0.000 0.000 0.000
In: 0.000 0.000 0.500



# 9
An optimized crystal structure of Ba2SbTe2, computed with PBE-GGA.

Computed properties:
- theoretical density (Mg/m³) = 5.476
- V (Å³/atom) = 39.5
- space-group type = P4/mbm, No. 127
- energy relative to the elements, uncorrected (eV per atom) = -0.931
- total magnetization (μB/atom) = 0.00
- excess energy over the best structure of this formula in the dataset (meV/atom) = 181

abc: 9.337 9.337 4.533
angles: 90.00 90.00 90.00
Positions (direct):
Sb: 0.000 0.000 0.000
Sb: 0.500 0.500 0.000
Te: 0.160 0.660 0.500
Te: 0.660 0.840 0.500
Te: 0.840 0.340 0.500
Te: 0.340 0.160 0.500
Ba: 0.351 0.851 0.000
Ba: 0.851 0.649 0.000
Ba: 0.649 0.149 0.000
Ba: 0.149 0.351 0.000



# 10
An optimized crystal structure of ReAuN2O, computed with PBE-GGA.

Computed properties:
- theoretical density (Mg/m³) = 11.695
- V (Å³/atom) = 12.1
- space-group type = P4/mmm, No. 123
- energy relative to the elements, uncorrected (eV per atom) = 0.457
- total magnetization (μB/atom) = 0.04

abc: 3.964 3.964 3.860
angles: 90.00 90.00 90.00
Positions (direct):
Re: 0.000 0.000 0.000
Au: 0.500 0.500 0.500
O: 0.000 0.000 0.500
N: 0.000 0.500 0.000
N: 0.500 0.000 0.000



# 11
An optimized crystal structure of PaCoSi, computed with PBE-GGA.

Computed properties:
- theoretical density (Mg/m³) = 10.261
- V (Å³/atom) = 17.2
- space-group type = P-6m2, No. 187
- energy relative to the elements, uncorrected (eV per atom) = -0.678
- total magnetization (μB/atom) = 0.00

abc: 3.508 4.116 4.116
angles: 120.00 90.00 90.00
Positions (direct):
Si: 0.167 0.333 0.667
Pa: 0.667 0.667 0.333
Co: 0.167 0.000 0.000



# 12
An optimized crystal structure of DyPuGe2, computed with PBE-GGA.

Computed properties:
- theoretical density (Mg/m³) = 10.150
- V (Å³/atom) = 22.6
- space-group type = Fm-3m, No. 225
- total magnetization (μB/atom) = 1.45
- ΔE_f (kJ per mole of atoms) = -47.0
- excess energy over the best structure of this formula in the dataset (meV/atom) = 133

abc: 5.035 5.035 5.035
angles: 60.00 60.00 60.00
Positions (direct):
Ge: 0.250 0.250 0.250
Ge: 0.750 0.750 0.750
Dy: 0.000 0.000 0.000
Pu: 0.500 0.500 0.500



# 13
An optimized crystal structure of BeIrO3, computed with PBE-GGA.

Computed properties:
- theoretical density (Mg/m³) = 7.280
- V (Å³/atom) = 11.4
- space-group type = Pm-3m, No. 221
- energy relative to the elements, uncorrected (eV per atom) = 0.063
- total magnetization (μB/atom) = 0.00

abc: 3.845 3.845 3.845
angles: 90.00 90.00 90.00
Positions (direct):
Be: 0.500 0.500 0.500
Ir: 0.000 0.000 0.000
O: 0.000 0.500 0.000
O: 0.000 0.000 0.500
O: 0.500 0.000 0.000



# 14
An optimized crystal structure of NdHoPuHg, computed with PBE-GGA.

Computed properties:
- theoretical density (Mg/m³) = 11.106
- V (Å³/atom) = 28.2
- space-group type = F-43m, No. 216
- total magnetization (μB/atom) = 1.68
- ΔE_f (kJ per mole of atoms) = 3.3

abc: 5.422 5.422 5.422
angles: 60.00 60.00 60.00
Positions (direct):
Ho: 0.000 0.000 0.000
Nd: 0.500 0.500 0.500
Hg: 0.750 0.750 0.750
Pu: 0.250 0.250 0.250



# 15
An optimized crystal structure of Li2TmZrS4, computed with PBE-GGA.

Computed properties:
- theoretical density (Mg/m³) = 4.460
- V (Å³/atom) = 18.7
- space-group type = P2/m, No. 10
- energy relative to the elements, uncorrected (eV per atom) = -1.668
- total magnetization (μB/atom) = 0.00

abc: 3.720 6.502 6.554
angles: 109.13 90.00 90.00
Positions (direct):
Li: 0.500 0.000 0.500
Li: 0.000 0.500 0.500
Tm: 0.000 0.000 0.000
Zr: 0.500 0.500 0.000
S: 0.500 0.258 0.252
S: 0.500 0.742 0.748
S: 0.000 0.256 0.751
S: 0.000 0.744 0.249



# 16
An optimized crystal structure of CuTc2Hg, computed with PBE-GGA.

Computed properties:
- theoretical density (Mg/m³) = 12.029
- V (Å³/atom) = 15.9
- space-group type = P2/m, No. 10
- total magnetization (μB/atom) = 0.00
- ΔE_f (kJ per mole of atoms) = 48.1

abc: 4.073 2.826 6.207
angles: 62.77 90.00 90.00
Positions (direct):
Cu: 0.500 0.250 0.250
Hg: 0.500 0.750 0.750
Tc: 0.000 0.955 0.044
Tc: 0.000 0.545 0.456



# 17
An optimized crystal structure of CuBP2O, computed with PBE-GGA.

Computed properties:
- theoretical density (Mg/m³) = 3.461
- V (Å³/atom) = 14.6
- space-group type = P4/mmm, No. 123
- energy relative to the elements, uncorrected (eV per atom) = 1.296
- total magnetization (μB/atom) = 0.00
- excess energy over the best structure of this formula in the dataset (meV/atom) = 1150

abc: 4.597 4.597 3.458
angles: 90.00 90.00 90.00
Positions (direct):
P: 0.000 0.500 0.000
P: 0.500 0.000 0.000
B: 0.500 0.500 0.500
O: 0.000 0.000 0.500
Cu: 0.000 0.000 0.000



# 18
An optimized crystal structure of Mg6Cu6Se, computed with PBE-GGA.

Computed properties:
- theoretical density (Mg/m³) = 4.266
- V (Å³/atom) = 18.1
- space-group type = P6/mmm, No. 191
- energy relative to the elements, uncorrected (eV per atom) = 0.216
- total magnetization (μB/atom) = 0.00
- excess energy over the best structure of this formula in the dataset (meV/atom) = 315

abc: 5.772 5.771 8.178
angles: 90.00 90.00 120.00
Positions (direct):
Mg: 0.000 0.500 0.248
Mg: 0.500 0.500 0.248
Mg: 0.500 0.000 0.248
Mg: 0.500 0.500 0.752
Mg: 0.000 0.500 0.752
Mg: 0.500 0.000 0.752
Cu: 0.000 0.000 0.351
Cu: 0.000 0.000 0.649
Cu: 0.667 0.333 0.000
Cu: 0.333 0.667 0.000
Cu: 0.667 0.333 0.500
Cu: 0.333 0.667 0.500
Se: 0.000 0.000 0.000



# 19
An optimized crystal structure of TcHCl2, computed with PBE-GGA.

Computed properties:
- theoretical density (Mg/m³) = 4.716
- V (Å³/atom) = 15.0
- space-group type = I-42d, No. 122
- total magnetization (μB/atom) = 0.00
- excess energy over the best structure of this formula in the dataset (meV/atom) = 162

abc: 5.082 5.082 5.863
angles: 64.32 64.32 90.00
Positions (direct):
H: 0.500 0.500 0.000
H: 0.250 0.750 0.500
Tc: 0.000 0.000 0.000
Tc: 0.750 0.250 0.500
Cl: 0.568 0.125 0.250
Cl: 0.182 0.625 0.250
Cl: 0.375 0.432 0.750
Cl: 0.875 0.818 0.750



# 20
An optimized crystal structure of Cs2ErAsSe4, computed with PBE-GGA.

Computed properties:
- theoretical density (Mg/m³) = 4.048
- V (Å³/atom) = 42.2
- space-group type = Fddd, No. 70
- energy relative to the elements, uncorrected (eV per atom) = -1.038
- total magnetization (μB/atom) = 0.00

abc: 6.835 8.259 13.589
angles: 84.03 75.43 65.56
Positions (direct):
Cs: 0.180 0.000 0.640
Cs: 0.820 0.000 0.360
Cs: 0.570 0.500 0.860
Cs: 0.930 0.500 0.140
Er: 0.750 0.500 0.500
Er: 0.000 0.000 0.000
As: 0.250 0.500 0.500
As: 0.500 0.000 0.000
Se: 0.303 0.802 0.105
Se: 0.210 0.198 0.895
Se: 0.894 0.802 0.895
Se: 0.592 0.198 0.105
Se: 0.447 0.698 0.395
Se: 0.540 0.302 0.605
Se: 0.856 0.698 0.605
Se: 0.158 0.302 0.395



Computed energy (eV per atom) in order:
-6.112 -5.904 -3.778 -5.807 -7.373 -4.909 -8.250 -3.970 -3.781 -7.010 -8.019 -7.529 -5.429 -5.961 -5.838 -5.784 -4.015 -2.679 -3.815 -4.146